Here is crystalline Pr2ErTl at its relaxed geometry from Alexandria via LeMat-Bulk. Energies are from PBE.

M_tot	0.9	μB per cell
DOS at the Fermi energy	1.60	states/eV/atom
SG	Fm-3m, No. 225
formation enthalpy at 0 K	-7.2	kJ/mol of atoms

Structure (CIF):
```
data_Pr2ErTl
_cell_length_a 5.609
_cell_length_b 5.609
_cell_length_c 5.609
_cell_angle_alpha 60.00
_cell_angle_beta 60.00
_cell_angle_gamma 60.00
_symmetry_space_group_name_H-M 'P 1'
_symmetry_Int_Tables_number 1
loop_
_symmetry_equiv_pos_as_xyz
'x,y,z'
loop_
_atom_site_label
_atom_site_fract_x
_atom_site_fract_y
_atom_site_fract_z
Pr1 0.250 0.250 0.250
Pr2 0.750 0.750 0.750
Tl1 0.500 0.500 0.500
Er1 0.000 0.000 0.000
```